[1]
The following is a meta-GGA SCAN calculation of a PBEsol-optimized structure of Ba2MnPt, from Alexandria.

**Symmetry**: No. 38
**Formation enthalpy at 0 K**: -0.387 eV per atom
**Fermi-level density of states**: 3.9 states/eV/f.u.

Cell: 4.3771 6.4491 6.4491 Å, 43.36 90.00 90.00°
Closest atoms and distances in Å follow each position.
Positions (direct):
Ba1 0.0000 0.0000 0.0000  2 Mn 3.28, 4 Pt 3.39
Ba2 0.5000 0.2865 0.2865  3 Pt 3.40-3.57, 4 Mn 3.45
Mn1 0.0000 0.6876 0.6876  2 Pt 2.51
Pt1 0.5000 0.5847 0.5847  2 Mn 2.51

[2]
The following is a meta-GGA SCAN calculation of a PBEsol-optimized structure of BaMnPt, from Alexandria.

**Symmetry**: No. 216
**Formation enthalpy at 0 K**: 0.554 eV per atom
**Fermi-level density of states**: 1.1 states/eV/f.u.

Cell: 4.9903 4.9903 4.9903 Å, 60.00 60.00 60.00°
Closest atoms and distances in Å follow each position.
Positions (direct):
Ba1 0.0000 0.0000 0.0000  4 Mn 3.06, 4 Pt 3.06
Mn1 0.7500 0.7500 0.7500  4 Ba 3.06
Pt1 0.2500 0.2500 0.2500  4 Ba 3.06

[3]
The following is a meta-GGA SCAN calculation of a PBEsol-optimized structure of BaMnPt, from Alexandria.

**Symmetry**: No. 187
**Formation enthalpy at 0 K**: -0.488 eV per atom
**Fermi-level density of states**: 2.5 states/eV/f.u.

Cell: 4.2403 4.2403 4.8709 Å, 90.00 90.00 120.00°
Closest atoms and distances in Å follow each position.
Positions (direct):
Ba1 0.0000 0.0000 0.0000  6 Mn 3.45, 6 Pt 3.45
Mn1 0.3333 0.6667 0.5000  3 Pt 2.45
Pt1 0.6667 0.3333 0.5000  3 Mn 2.45

[4]
The following is a meta-GGA SCAN calculation of a PBEsol-optimized structure of BaMnPt2S, from Alexandria.

**Raw formation energy**: 1.33 eV per atom
**Symmetry**: No. 123
**Fermi-level density of states**: 2.8 states/eV/f.u.

Cell: 5.1829 5.1829 5.5881 Å, 90.00 90.00 90.00°
Closest atoms and distances in Å follow each position.
Positions (direct):
Ba1 0.0000 0.0000 0.0000  4 Pt 2.59, 2 S 2.79
Mn1 0.5000 0.5000 0.5000  4 S 3.66, 8 Pt 3.81
Pt1 0.0000 0.5000 0.0000  2 Ba 2.59
Pt2 0.5000 0.0000 0.0000  2 Ba 2.59
S1 0.0000 0.0000 0.5000  2 Ba 2.79

[5]
The following is a meta-GGA SCAN calculation of a PBEsol-optimized structure of RbBa2MnSe, from Alexandria.

**Raw formation energy**: -0.45 eV per atom
**Symmetry**: No. 123
**Fermi-level density of states**: 5.3 states/eV/f.u.

Cell: 6.2353 6.2353 6.3221 Å, 90.00 90.00 90.00°
Closest atoms and distances in Å follow each position.
Positions (direct):
Rb1 0.0000 0.0000 0.0000  2 Se 3.16
Ba1 0.0000 0.5000 0.5000  2 Se 3.12
Ba2 0.5000 0.0000 0.5000  2 Se 3.12
Mn1 0.5000 0.5000 0.0000  4 Rb 4.41, 8 Ba 4.44
Se1 0.0000 0.0000 0.5000  4 Ba 3.12, 2 Rb 3.16

[6]
The following is a meta-GGA SCAN calculation of a PBEsol-optimized structure of RbBaMn2Tl, from Alexandria.

**Symmetry**: No. 123
**Formation enthalpy at 0 K**: 0.443 eV per atom
**Fermi-level density of states**: 3.3 states/eV/f.u.

Cell: 5.3083 5.3083 6.2263 Å, 90.00 90.00 90.00°
Closest atoms and distances in Å follow each position.
Positions (direct):
Rb1 0.0000 0.0000 0.0000  2 Tl 3.11
Ba1 0.5000 0.5000 0.0000  4 Rb 3.75, 8 Mn 4.09
Mn1 0.0000 0.5000 0.5000  2 Tl 2.65
Mn2 0.5000 0.0000 0.5000  2 Tl 2.65
Tl1 0.0000 0.0000 0.5000  4 Mn 2.65